Record 1
{
  "formula": "Tb2Ni2AsP",
  "functional": "PBE",
  "state": "optimized geometry",
  "lattice_angstrom": [[3.9756, 0.0000, 0.0000], [-1.9878, 3.4429, 0.0000], [0.0000, 0.0000, 7.7455]],
  "species": ["Tb", "Tb", "Ni", "Ni", "As", "P"],
  "fractional_positions": [[0.0000, 0.0000, 0.2434], [0.0000, 0.0000, 0.7566], [0.3333, 0.6667, 0.0000], [0.6667, 0.3333, 0.5000], [0.3333, 0.6667, 0.5000], [0.6667, 0.3333, 0.0000]],
  "rho_g_cm3": 8.48,
  "total_energy_ev_per_atom": -6.211,
  "magnetic_moment_mub_per_fu": 0.00
}



Record 2
{
  "formula": "HfCoAg",
  "functional": "PBE",
  "state": "optimized geometry",
  "lattice_angstrom": [[0.0000, 3.0139, 3.0139], [3.0139, 0.0000, 3.0139], [3.0139, 3.0139, 0.0000]],
  "species": ["Hf", "Co", "Ag"],
  "fractional_positions": [[0.0000, 0.0000, 0.0000], [0.7500, 0.7500, 0.7500], [0.5000, 0.5000, 0.5000]],
  "rho_g_cm3": 10.47,
  "ef_ev_per_atom": 0.18,
  "magnetic_moment_mub_per_fu": 0.00
}



Record 3
{
  "formula": "FeNi",
  "functional": "PBE",
  "state": "optimized geometry",
  "lattice_angstrom": [[1.7342, -1.7815, 0.0000], [1.7342, 1.7815, 0.0000], [0.0000, 0.0000, 3.5741]],
  "species": ["Fe", "Ni"],
  "fractional_positions": [[0.0000, 0.0000, 0.0000], [0.5000, 0.5000, 0.5000]],
  "rho_g_cm3": 8.61,
  "ef_ev_per_atom": -0.06,
  "magnetic_moment_mub_per_fu": 3.18
}



Record 4
{
  "formula": "Pr2GdMg3In2Hg",
  "functional": "PBE",
  "state": "optimized geometry",
  "lattice_angstrom": [[4.7207, 0.0000, 0.0000], [0.0000, 6.6050, 3.8612], [0.0000, -6.6050, 3.8612]],
  "species": ["Pr", "Pr", "Gd", "Mg", "Mg", "Mg", "In", "In", "Hg"],
  "fractional_positions": [[0.0000, 0.2083, 0.7917], [0.0000, 0.7917, 0.2083], [0.0000, 0.3745, 0.3745], [0.5000, 0.0278, 0.0278], [0.5000, 0.5510, 0.7898], [0.5000, 0.7898, 0.5510], [0.5000, 0.1285, 0.4557], [0.5000, 0.4557, 0.1285], [0.0000, 0.7827, 0.7827]],
  "rho_g_cm3": 6.50,
  "total_energy_ev_per_atom": -3.170,
  "magnetic_moment_mub_per_fu": 0.01
}